1.
Here is TbPm3Pt8 after structural relaxation from Alexandria via LeMat-Bulk. Energies are from PBE.

```
TbPm3Pt8
1.0
5.498 0.000 0.000
-2.749 4.762 0.000
0.000 0.000 8.988
Tb Pm Pt
1 3 8
direct
0.000 0.000 0.000
0.000 0.000 0.369
0.667 0.333 0.502
0.667 0.333 0.873
0.164 0.329 0.688
0.164 0.836 0.688
0.333 0.667 0.437
0.333 0.667 0.937
0.502 0.004 0.185
0.502 0.498 0.185
0.671 0.836 0.688
0.996 0.498 0.185
```

Properties
Fermi-level density of states   4.90 states/eV per cell
Energy relative to the elements   -1.031 eV per atom
Symmetry   No. 156


2.
Here is Tb3PmPt8 after structural relaxation from Alexandria via LeMat-Bulk. Energies are from PBE.

```
Tb3PmPt8
1.0
5.474 0.000 0.000
-2.737 4.741 0.000
0.000 0.000 8.927
Tb Pm Pt
3 1 8
direct
0.000 0.000 0.000
0.000 0.000 0.368
0.333 0.667 0.874
0.333 0.667 0.503
0.004 0.502 0.185
0.328 0.164 0.688
0.498 0.502 0.185
0.498 0.996 0.185
0.667 0.333 0.436
0.667 0.333 0.936
0.836 0.164 0.688
0.836 0.672 0.688
```

Properties
Fermi-level density of states   5.20 states/eV per cell
Energy relative to the elements   -1.055 eV per atom
Symmetry   No. 156


3.
Here is Tb5Pm2Pt4 after structural relaxation from Alexandria via LeMat-Bulk. Energies are from PBE.

```
Tb5Pm2Pt4
1.0
12.366 -1.889 0.000
12.366 1.889 0.000
-0.560 0.000 6.809
Tb Pm Pt
5 2 4
direct
0.000 0.000 0.000
0.265 0.265 0.269
0.367 0.367 0.803
0.633 0.633 0.197
0.735 0.735 0.731
0.409 0.409 0.329
0.591 0.591 0.671
0.171 0.171 0.496
0.475 0.475 0.698
0.525 0.525 0.302
0.829 0.829 0.504
```

Properties
Fermi-level density of states   10.84 states/eV per cell
Energy relative to the elements   -0.690 eV per atom
Symmetry   No. 12


4.
Here is TbPm2Pt after structural relaxation from Alexandria via LeMat-Bulk. Energies are from PBE.

```
TbPm2Pt
1.0
3.767 0.000 0.000
-1.884 3.263 0.000
0.000 0.000 32.129
Tb Pm Pt
3 6 3
direct
0.000 0.000 0.000
0.333 0.667 0.667
0.667 0.333 0.333
0.000 0.000 0.109
0.000 0.000 0.891
0.333 0.667 0.558
0.333 0.667 0.776
0.667 0.333 0.224
0.667 0.333 0.442
0.000 0.000 0.500
0.333 0.667 0.167
0.667 0.333 0.833
```

Properties
Fermi-level density of states   18.18 states/eV per cell
Energy relative to the elements   -0.243 eV per atom
Symmetry   No. 166


5.
Here is Tb4PmPt4 after structural relaxation from Alexandria via LeMat-Bulk. Energies are from PBE.

```
Tb4PmPt4
1.0
9.118 0.000 0.000
0.000 9.118 0.000
0.000 0.000 5.765
Tb Pm Pt
8 2 8
direct
0.078 0.652 0.172
0.152 0.922 0.672
0.348 0.578 0.672
0.422 0.848 0.172
0.578 0.152 0.828
0.652 0.422 0.328
0.848 0.078 0.328
0.922 0.348 0.828
0.250 0.250 0.250
0.750 0.750 0.750
0.040 0.626 0.671
0.126 0.960 0.171
0.374 0.540 0.171
0.460 0.874 0.671
0.540 0.126 0.329
0.626 0.460 0.829
0.874 0.040 0.829
0.960 0.374 0.329
```

Properties
Fermi-level density of states   13.18 states/eV per cell
Energy relative to the elements   -1.031 eV per atom
Symmetry   No. 86


6.
Here is TbPm4Pt5 after structural relaxation from Alexandria via LeMat-Bulk. Energies are from PBE.

```
TbPm4Pt5
1.0
3.549 0.000 0.000
0.000 3.549 0.000
0.000 0.000 18.054
Tb Pm Pt
1 4 5
direct
0.000 0.000 0.000
0.000 0.000 0.197
0.000 0.000 0.399
0.000 0.000 0.601
0.000 0.000 0.803
0.500 0.500 0.094
0.500 0.500 0.298
0.500 0.500 0.500
0.500 0.500 0.702
0.500 0.500 0.906
```

Properties
Fermi-level density of states   7.37 states/eV per cell
Energy relative to the elements   -1.103 eV per atom
Symmetry   No. 123